DFT (GGA-PBE) results for a relaxed Sr2GaBi5 crystal.

Properties
DOS at the Fermi energy = 0.71 states/eV per atom
Total magnetic moment = 0.00 μB/atom
Calculated formation energy = -3.32 eV/f.u.
Density = 8372 kg/m³
Energy = -29.1 eV/f.u.

a = 7.024 Å, b = 7.023 Å, c = 7.181 Å
α = 119.28°, β = 119.28°, γ = 90.00°
Fractional coordinates of all 8 atoms:
Sr (0.228, 0.728, 0.456)
Sr (0.728, 0.228, 0.456)
Ga (0.183, 0.183, 0.365)
Bi (0.730, 0.227, 0.957)
Bi (0.227, 0.227, 0.957)
Bi (0.730, 0.730, 0.957)
Bi (0.227, 0.730, 0.957)
Bi (0.725, 0.725, 0.450)